No. 1
Pu2BeNi6Ge: optimized geometry, PBE-GGA.

Lattice parameters (Å, degrees): 6.0232 6.0232 6.0232 60.00 60.00 90.00
With the nearest neighbours (Å) after each atom.
Sites, in units of the cell vectors:
Pu1 0.2500 0.7500 0.5000  12 Ni 3.02
Pu2 0.7500 0.2500 0.5000  12 Ni 3.02
Be1 0.5000 0.5000 0.0000  6 Ni 1.99
Ni1 0.2669 0.7331 0.0000  1 Be 1.99
Ni2 0.7330 0.7330 0.0000  1 Be 1.99
Ni3 0.2670 0.2670 0.4661  1 Be 1.99
Ni4 0.7331 0.2669 0.0000  1 Be 1.99
Ni5 0.2670 0.2670 0.0000  1 Be 1.99
Ni6 0.7330 0.7330 0.5339  1 Be 1.99
Ge1 0.0000 0.0000 0.0000  6 Ni 2.27

Summary:
formation energy from the elements = 0.041 eV/atom
crystal system = cubic



No. 2
Pu2BeNi3Ge4: optimized geometry, PBE-GGA.

Lattice parameters (Å, degrees): 4.1050 4.1050 9.6040 90.00 90.00 90.00
With the nearest neighbours (Å) after each atom.
Sites, in units of the cell vectors:
Pu1 0.5000 0.0000 0.2551  8 Ge 3.10-3.20, 6 Ni 3.12-3.16, 2 Be 3.12
Pu2 0.0000 0.5000 0.7449  8 Ge 3.10-3.20, 6 Ni 3.12-3.16, 2 Be 3.12
Be1 0.5000 0.5000 0.5000  4 Ge 2.40
Ni1 0.0000 0.0000 0.5000  4 Ge 2.40
Ni2 0.5000 0.0000 0.8745  5 Ge 2.35-2.38
Ni3 0.0000 0.5000 0.1255  5 Ge 2.35-2.38
Ge1 0.5000 0.5000 0.0000  4 Ni 2.38
Ge2 0.0000 0.0000 0.0000  4 Ni 2.38
Ge3 0.5000 0.0000 0.6302  3 Ni 2.35-2.40, 2 Be 2.40
Ge4 0.0000 0.5000 0.3698  3 Ni 2.35-2.40, 2 Be 2.40

Summary:
formation energy from the elements = -0.447 eV/atom
crystal system = tetragonal



No. 3
Pu2Be3NiGe4: optimized geometry, PBE-GGA.

Lattice parameters (Å, degrees): 4.0472 4.0472 9.5764 90.00 90.00 90.00
With the nearest neighbours (Å) after each atom.
Sites, in units of the cell vectors:
Pu1 0.5000 0.0000 0.2511  8 Ge 3.07-3.14, 6 Be 3.08-3.13, 2 Ni 3.13
Pu2 0.0000 0.5000 0.7489  8 Ge 3.07-3.14, 6 Be 3.08-3.13, 2 Ni 3.13
Be1 0.0000 0.0000 0.5000  4 Ge 2.38
Be2 0.5000 0.0000 0.8676  5 Ge 2.26-2.39
Be3 0.0000 0.5000 0.1324  5 Ge 2.26-2.39
Ni1 0.5000 0.5000 0.5000  4 Ge 2.38
Ge1 0.5000 0.5000 0.0000  4 Be 2.39
Ge2 0.0000 0.0000 0.0000  4 Be 2.39
Ge3 0.5000 0.0000 0.6316  3 Be 2.26-2.38, 2 Ni 2.38
Ge4 0.0000 0.5000 0.3684  3 Be 2.26-2.38, 2 Ni 2.38

Summary:
formation energy from the elements = -0.321 eV/atom
crystal system = tetragonal



No. 4
BeNiGeRu: optimized geometry, PBE-GGA.

Lattice parameters (Å, degrees): 4.0455 4.0455 4.0455 60.00 60.00 60.00
With the nearest neighbours (Å) after each atom.
Sites, in units of the cell vectors:
Ru1 0.5000 0.5000 0.5000  4 Be 2.48, 4 Ge 2.48
Ge1 0.2500 0.2500 0.2500  4 Ni 2.48, 4 Ru 2.48
Be1 0.7500 0.7500 0.7500  4 Ru 2.48, 4 Ni 2.48
Ni1 0.0000 0.0000 0.0000  4 Ge 2.48, 4 Be 2.48

Summary:
formation energy from the elements = -0.295 eV/atom
crystal system = cubic



No. 5
Sc2BeNi6Ge: optimized geometry, PBE-GGA.

Lattice parameters (Å, degrees): 5.7150 5.9336 4.8610 65.62 64.66 70.69
With the nearest neighbours (Å) after each atom.
Sites, in units of the cell vectors:
Sc1 0.7476 0.2392 0.5056  6 Ni 2.54-2.84
Sc2 0.2524 0.7608 0.4944  6 Ni 2.54-2.84
Be1 0.0000 0.0000 0.0000  6 Ni 2.15-2.36
Ni1 0.1858 0.2978 0.5124  1 Be 2.34, 5 Ni 2.39-2.63, 1 Ge 2.45
Ni2 0.8133 0.7018 0.9973  1 Be 2.36, 5 Ni 2.39-2.63, 1 Ge 2.45
Ni3 0.4243 0.9380 0.8197  1 Be 2.15, 1 Ge 2.33, 1 Ni 2.41
Ni4 0.5757 0.0620 0.1803  1 Be 2.15, 1 Ge 2.33, 1 Ni 2.41
Ni5 0.1867 0.2982 0.0027  1 Be 2.36, 5 Ni 2.39-2.63, 1 Ge 2.45
Ni6 0.8142 0.7022 0.4876  1 Be 2.34, 5 Ni 2.39-2.63, 1 Ge 2.45
Ge1 0.5000 0.5000 0.0000  6 Ni 2.33-2.45

Summary:
formation energy from the elements = -0.342 eV/atom
crystal system = triclinic



No. 6
Sc2Be2Ni5Ge: optimized geometry, PBE-GGA.

Lattice parameters (Å, degrees): 3.2775 8.6900 8.6900 90.00 90.00 90.00
With the nearest neighbours (Å) after each atom.
Sites, in units of the cell vectors:
Sc1 0.0000 0.6800 0.1800  3 Be 2.53-2.62, 6 Ni 2.75-2.77
Sc2 0.0000 0.3200 0.8200  3 Be 2.53-2.62, 6 Ni 2.75-2.77
Sc3 0.0000 0.1800 0.3200  3 Be 2.53-2.62, 6 Ni 2.75-2.77
Sc4 0.0000 0.8200 0.6800  3 Be 2.53-2.62, 6 Ni 2.75-2.77
Be1 0.0000 0.1145 0.6145  6 Ni 2.16-2.25
Be2 0.0000 0.8855 0.3855  6 Ni 2.16-2.25
Be3 0.0000 0.6145 0.8855  6 Ni 2.16-2.25
Be4 0.0000 0.3855 0.1145  6 Ni 2.16-2.25
Ni1 0.5000 0.2156 0.0659  2 Be 2.25
Ni2 0.5000 0.7844 0.9341  2 Be 2.25
Ni3 0.5000 0.0659 0.7844  2 Be 2.25
Ni4 0.5000 0.7156 0.4341  2 Be 2.25
Ni5 0.5000 0.9341 0.2156  2 Be 2.25
Ni6 0.5000 0.2844 0.5659  2 Be 2.25
Ni7 0.5000 0.5659 0.7156  2 Be 2.25
Ni8 0.5000 0.4341 0.2844  2 Be 2.25
Ni9 0.5000 0.5000 0.0000  4 Be 2.16
Ni10 0.5000 0.0000 0.5000  4 Be 2.16
Ge1 0.0000 0.0000 0.0000  8 Ni 2.55
Ge2 0.0000 0.5000 0.5000  8 Ni 2.55

Summary:
formation energy from the elements = -0.486 eV/atom
crystal system = tetragonal



No. 7
Be2SiNi4Ge: optimized geometry, PBE-GGA.

Lattice parameters (Å, degrees): 3.8834 3.8834 6.7869 73.38 73.38 60.00
With the nearest neighbours (Å) after each atom.
Sites, in units of the cell vectors:
Be1 0.7517 0.7517 0.7448  8 Ni 2.33-2.51
Be2 0.2483 0.2483 0.2552  8 Ni 2.33-2.51
Si1 0.5000 0.5000 0.5000  8 Ni 2.33-2.37
Ni1 0.3787 0.3787 0.8640  1 Si 2.33, 4 Be 2.37-2.51, 3 Ge 2.41
Ni2 0.8729 0.8729 0.3813  4 Be 2.33-2.38, 3 Si 2.37, 1 Ge 2.44
Ni3 0.1271 0.1271 0.6187  4 Be 2.33-2.38, 3 Si 2.37, 1 Ge 2.44
Ni4 0.6213 0.6213 0.1360  1 Si 2.33, 4 Be 2.37-2.51, 3 Ge 2.41
Ge1 0.0000 0.0000 0.0000  8 Ni 2.41-2.44

Summary:
formation energy (no corrections) = -415 meV per atom
crystal system = trigonal



No. 8
Sm2BeNi4Ge3: optimized geometry, PBE-GGA.

Lattice parameters (Å, degrees): 4.0622 4.0622 9.6569 90.00 90.00 90.00
With the nearest neighbours (Å) after each atom.
Sites, in units of the cell vectors:
Sm1 0.5000 0.0000 0.2560  6 Ge 3.11, 2 Be 3.11, 8 Ni 3.11-3.20
Sm2 0.0000 0.5000 0.7440  6 Ge 3.11, 2 Be 3.11, 8 Ni 3.11-3.20
Be1 0.5000 0.5000 0.5000  4 Ni 2.34
Ni1 0.5000 0.5000 0.0000  4 Ge 2.41
Ni2 0.0000 0.0000 0.0000  4 Ge 2.41
Ni3 0.5000 0.0000 0.6200  3 Ge 2.34-2.38, 2 Be 2.34
Ni4 0.0000 0.5000 0.3800  2 Be 2.34, 3 Ge 2.34-2.38
Ge1 0.0000 0.0000 0.5000  4 Ni 2.34
Ge2 0.5000 0.0000 0.8664  5 Ni 2.38-2.41
Ge3 0.0000 0.5000 0.1336  5 Ni 2.38-2.41

Summary:
formation energy from the elements = -0.619 eV/atom
crystal system = tetragonal



No. 9
Sm2Be3NiGe4: optimized geometry, PBE-GGA.

Lattice parameters (Å, degrees): 4.0545 4.0545 9.8118 90.00 90.00 90.00
With the nearest neighbours (Å) after each atom.
Sites, in units of the cell vectors:
Sm1 0.5000 0.0000 0.2559  8 Ge 3.07-3.23, 6 Be 3.11-3.14, 2 Ni 3.14
Sm2 0.0000 0.5000 0.7441  8 Ge 3.07-3.23, 6 Be 3.11-3.14, 2 Ni 3.14
Be1 0.0000 0.0000 0.5000  4 Ge 2.40
Be2 0.5000 0.0000 0.8659  5 Ge 2.30-2.42
Be3 0.0000 0.5000 0.1341  5 Ge 2.30-2.42
Ni1 0.5000 0.5000 0.5000  4 Ge 2.40
Ge1 0.5000 0.5000 0.0000  4 Be 2.42
Ge2 0.0000 0.0000 0.0000  4 Be 2.42
Ge3 0.5000 0.0000 0.6314  3 Be 2.30-2.40, 2 Ni 2.40
Ge4 0.0000 0.5000 0.3686  3 Be 2.30-2.40, 2 Ni 2.40

Summary:
formation energy from the elements = -0.464 eV/atom
crystal system = tetragonal



No. 10
Sm2BeNi6Ge: optimized geometry, PBE-GGA.

Lattice parameters (Å, degrees): 6.0464 6.0464 6.0464 60.00 60.00 90.00
With the nearest neighbours (Å) after each atom.
Sites, in units of the cell vectors:
Sm1 0.2500 0.7500 0.5000  12 Ni 3.03
Sm2 0.7500 0.2500 0.5000  12 Ni 3.03
Be1 0.5000 0.5000 0.0000  6 Ni 2.00
Ni1 0.2660 0.7340 0.0000  1 Be 2.00
Ni2 0.7340 0.7340 0.0000  1 Be 2.00
Ni3 0.2660 0.2660 0.4679  1 Be 2.00
Ni4 0.7340 0.2660 0.0000  1 Be 2.00
Ni5 0.2660 0.2660 0.0000  1 Be 2.00
Ni6 0.7340 0.7340 0.5321  1 Be 2.00
Ge1 0.0000 0.0000 0.0000  6 Ni 2.27

Summary:
formation energy from the elements = -0.176 eV/atom
crystal system = cubic



No. 11
BeNi2SnGe: optimized geometry, PBE-GGA.

Lattice parameters (Å, degrees): 4.4918 4.1543 4.4918 90.00 90.00 90.00
With the nearest neighbours (Å) after each atom.
Sites, in units of the cell vectors:
Ni1 0.0000 0.0000 0.5000  2 Ge 2.25
Ni2 0.5000 0.0000 0.0000  2 Ge 2.25
Ge1 0.0000 0.0000 0.0000  2 Be 2.08, 4 Ni 2.25
Sn1 0.5000 0.5000 0.5000  8 Ni 3.06, 4 Be 3.18
Be1 0.0000 0.5000 0.0000  2 Ge 2.08

Summary:
formation energy from the elements = 0.423 eV/atom
crystal system = tetragonal



No. 12
Tb2BeNi3Ge4: optimized geometry, PBE-GGA.

Lattice parameters (Å, degrees): 4.0574 4.0574 9.7505 90.00 90.00 90.00
With the nearest neighbours (Å) after each atom.
Sites, in units of the cell vectors:
Tb1 0.5000 0.0000 0.2525  8 Ge 3.09-3.19, 6 Ni 3.12-3.15, 2 Be 3.15
Tb2 0.0000 0.5000 0.7475  8 Ge 3.09-3.19, 6 Ni 3.12-3.15, 2 Be 3.15
Be1 0.5000 0.5000 0.5000  4 Ge 2.40
Ni1 0.0000 0.0000 0.5000  4 Ge 2.40
Ni2 0.5000 0.0000 0.8727  5 Ge 2.36-2.38
Ni3 0.0000 0.5000 0.1273  5 Ge 2.36-2.38
Ge1 0.5000 0.5000 0.0000  4 Ni 2.38
Ge2 0.0000 0.0000 0.0000  4 Ni 2.38
Ge3 0.5000 0.0000 0.6308  3 Ni 2.36-2.40, 2 Be 2.40
Ge4 0.0000 0.5000 0.3692  3 Ni 2.36-2.40, 2 Be 2.40

Summary:
formation energy from the elements = -0.636 eV/atom
crystal system = tetragonal